# 1
## SrErTe2 (PBE-GGA)

Data for a relaxed structure of SrErTe2.

Volume ... 185 Å³/cell
Raw total energy ... -15.85 eV/cell
Crystal system ... trigonal
Space group ... R-3m, No. 166

abc: 4.776 4.776 9.749
angles: 75.82 75.82 60.00
Element x y z (fractional)
1 Sr 0.500 0.500 0.500
2 Te 0.101 0.101 0.698
3 Er 0.000 0.000 0.000
4 Te 0.899 0.899 0.302

=====

# 2
## Te2PdI (PBE-GGA)

Data for a relaxed structure of Te2PdI.

Volume ... 113 Å³/cell
Raw total energy ... -12.06 eV/cell
Crystal system ... tetragonal
Space group ... P4/mmm, No. 123

abc: 4.323 4.323 6.039
angles: 90.00 90.00 90.00
Element x y z (fractional)
1 Pd 0.000 0.000 0.500
2 I 0.500 0.500 0.000
3 Te 0.500 0.500 0.500
4 Te 0.000 0.000 0.000

=====

# 3
## Na2SnS (PBE-GGA)

Data for a relaxed structure of Na2SnS.

Volume ... 440 Å³/cell
Raw total energy ... -52.42 eV/cell
Crystal system ... triclinic
Space group ... P-1, No. 2

abc: 6.218 7.658 10.194
angles: 67.64 90.98 79.98
Element x y z (fractional)
1 Na 0.550 0.108 0.133
2 S 0.780 0.786 0.095
3 S 0.155 0.743 0.758
4 Sn 0.508 0.292 0.549
5 Sn 0.511 0.534 0.217
6 S 0.220 0.214 0.905
7 Na 0.450 0.892 0.867
8 Na 0.912 0.032 0.832
9 Na 0.964 0.507 0.665
10 Na 0.088 0.968 0.168
11 Sn 0.492 0.708 0.451
12 Na 0.000 0.000 0.500
13 Sn 0.489 0.466 0.783
14 Na 0.000 0.500 0.000
15 Na 0.036 0.493 0.335
16 S 0.845 0.257 0.242

=====

# 4
## Ac2CoGe6 (PBE-GGA)

Data for a relaxed structure of Ac2CoGe6.

Volume ... 195 Å³/cell
Raw total energy ... -47.03 eV/cell
Crystal system ... trigonal
Space group ... P-3m1, No. 164
E_form ... -444.9 meV per atom

abc: 5.322 6.498 6.498
angles: 60.01 89.98 89.98
Element x y z (fractional)
1 Ge 0.307 0.843 0.314
2 Ac 0.803 0.666 0.666
3 Ge 0.694 0.157 0.157
4 Ge 0.693 0.686 0.157
5 Ac 0.197 0.334 0.334
6 Ge 0.306 0.843 0.843
7 Ge 0.307 0.314 0.843
8 Co 0.000 0.000 0.000
9 Ge 0.693 0.157 0.686